1.
# Rb2CuSBr, optimized geometry, DFT PBE-GGA
data_Rb2CuSBr
_chemical_formula_sum 'Rb2 Cu1 S1 Br1'
_space_group_name_H-M_alt 'P 1'
_space_group_IT_number 1
_cell_length_a 6.486
_cell_length_b 6.486
_cell_length_c 4.242
_cell_angle_alpha 90.00
_cell_angle_beta 90.00
_cell_angle_gamma 90.00
loop_
_space_group_symop_operation_xyz
'x,y,z'
loop_
_atom_site_label
_atom_site_fract_x
_atom_site_fract_y
_atom_site_fract_z
S1 0.000 0.000 0.000
Cu1 0.000 0.000 0.500
Br1 0.500 0.500 0.500
Rb1 0.000 0.500 0.000
Rb2 0.500 0.000 0.000
# Formation energy from raw total energies: -1.01 eV per atom
# Calculated total energy: -3.3781 eV per atom

***

2.
# RbCu2SBr, optimized geometry, DFT PBE-GGA
data_RbCu2SBr
_chemical_formula_sum 'Rb1 Cu2 S1 Br1'
_space_group_name_H-M_alt 'P 1'
_space_group_IT_number 1
_cell_length_a 5.902
_cell_length_b 5.248
_cell_length_c 5.902
_cell_angle_alpha 90.00
_cell_angle_beta 90.00
_cell_angle_gamma 90.00
loop_
_space_group_symop_operation_xyz
'x,y,z'
loop_
_atom_site_label
_atom_site_fract_x
_atom_site_fract_y
_atom_site_fract_z
S1 0.000 0.500 0.000
Cu1 0.000 0.000 0.500
Cu2 0.500 0.000 0.000
Br1 0.500 0.500 0.500
Rb1 0.000 0.000 0.000
# Formation energy from raw total energies: 1.38 eV per atom
# Calculated total energy: -1.6083 eV per atom

***

3.
# Rb2Cu2SbBr6, optimized geometry, DFT PBE-GGA
data_Rb2Cu2SbBr6
_chemical_formula_sum 'Rb2 Cu2 Sb1 Br6'
_space_group_name_H-M_alt 'P 1'
_space_group_IT_number 1
_cell_length_a 7.659
_cell_length_b 8.212
_cell_length_c 7.414
_cell_angle_alpha 108.76
_cell_angle_beta 90.00
_cell_angle_gamma 117.80
loop_
_space_group_symop_operation_xyz
'x,y,z'
loop_
_atom_site_label
_atom_site_fract_x
_atom_site_fract_y
_atom_site_fract_z
Rb1 0.726 0.451 0.206
Rb2 0.274 0.549 0.794
Cu1 0.956 0.913 0.804
Cu2 0.044 0.087 0.196
Sb1 0.500 0.000 0.500
Br1 0.784 0.569 0.707
Br2 0.186 0.878 0.200
Br3 0.307 0.122 0.800
Br4 0.814 0.122 0.800
Br5 0.693 0.878 0.200
Br6 0.216 0.431 0.293
# Formation energy from raw total energies: -0.81 eV per atom
# Calculated total energy: -3.0168 eV per atom

***

4.
# RbCuSbBr5, optimized geometry, DFT PBE-GGA
data_RbCuSbBr5
_chemical_formula_sum 'Rb2 Cu2 Sb2 Br10'
_space_group_name_H-M_alt 'P 1'
_space_group_IT_number 1
_cell_length_a 7.844
_cell_length_b 7.844
_cell_length_c 10.637
_cell_angle_alpha 103.87
_cell_angle_beta 103.87
_cell_angle_gamma 106.24
loop_
_space_group_symop_operation_xyz
'x,y,z'
loop_
_atom_site_label
_atom_site_fract_x
_atom_site_fract_y
_atom_site_fract_z
Rb1 0.351 0.649 0.250
Rb2 0.649 0.351 0.750
Cu1 0.696 0.304 0.250
Cu2 0.304 0.696 0.750
Sb1 0.000 0.000 0.500
Sb2 0.000 0.000 0.000
Br1 0.076 0.924 0.250
Br2 0.924 0.076 0.750
Br3 0.896 0.313 0.106
Br4 0.104 0.687 0.894
Br5 0.687 0.104 0.394
Br6 0.313 0.896 0.606
Br7 0.765 0.615 0.423
Br8 0.235 0.385 0.577
Br9 0.385 0.235 0.077
Br10 0.615 0.765 0.923
# Formation energy from raw total energies: -0.81 eV per atom
# Calculated total energy: -3.0057 eV per atom

***

5.
# RbCu2SbBr8, optimized geometry, DFT PBE-GGA
data_RbCu2SbBr8
_chemical_formula_sum 'Rb1 Cu2 Sb1 Br8'
_space_group_name_H-M_alt 'P 1'
_space_group_IT_number 1
_cell_length_a 7.072
_cell_length_b 7.175
_cell_length_c 9.763
_cell_angle_alpha 65.46
_cell_angle_beta 70.21
_cell_angle_gamma 68.98
loop_
_space_group_symop_operation_xyz
'x,y,z'
loop_
_atom_site_label
_atom_site_fract_x
_atom_site_fract_y
_atom_site_fract_z
Rb1 0.000 0.000 0.500
Cu1 0.434 0.469 0.704
Cu2 0.566 0.531 0.296
Sb1 0.000 0.000 0.000
Br1 0.171 0.699 0.248
Br2 0.733 0.755 0.054
Br3 0.719 0.222 0.192
Br4 0.829 0.301 0.752
Br5 0.267 0.245 0.946
Br6 0.281 0.778 0.808
Br7 0.546 0.732 0.461
Br8 0.454 0.268 0.539
# Formation energy from raw total energies: -0.59 eV per atom
# Calculated total energy: -2.8135 eV per atom

***

6.
# RbCu2SbBr6, optimized geometry, DFT PBE-GGA
data_RbCu2SbBr6
_chemical_formula_sum 'Rb1 Cu2 Sb1 Br6'
_space_group_name_H-M_alt 'P 1'
_space_group_IT_number 1
_cell_length_a 7.362
_cell_length_b 7.357
_cell_length_c 8.894
_cell_angle_alpha 90.13
_cell_angle_beta 114.47
_cell_angle_gamma 119.95
loop_
_space_group_symop_operation_xyz
'x,y,z'
loop_
_atom_site_label
_atom_site_fract_x
_atom_site_fract_y
_atom_site_fract_z
Rb1 0.997 0.497 0.480
Cu1 0.461 0.730 0.175
Cu2 0.533 0.266 0.787
Sb1 0.996 0.998 0.980
Br1 0.555 0.958 0.768
Br2 0.438 0.038 0.194
Br3 0.812 0.772 0.195
Br4 0.172 0.400 0.194
Br5 0.820 0.595 0.766
Br6 0.182 0.223 0.765
# Formation energy from raw total energies: -0.69 eV per atom
# Calculated total energy: -3.0207 eV per atom

***

7.
# Rb3ScCu2Br9, optimized geometry, DFT PBE-GGA
data_Rb3ScCu2Br9
_chemical_formula_sum 'Rb3 Sc1 Cu2 Br9'
_space_group_name_H-M_alt 'P 1'
_space_group_IT_number 1
_cell_length_a 7.530
_cell_length_b 7.530
_cell_length_c 9.293
_cell_angle_alpha 90.00
_cell_angle_beta 90.00
_cell_angle_gamma 120.00
loop_
_space_group_symop_operation_xyz
'x,y,z'
loop_
_atom_site_label
_atom_site_fract_x
_atom_site_fract_y
_atom_site_fract_z
Rb1 0.333 0.667 0.672
Rb2 0.000 0.000 0.000
Rb3 0.667 0.333 0.328
Sc1 0.000 0.000 0.500
Cu1 0.333 0.667 0.142
Cu2 0.667 0.333 0.858
Br1 0.833 0.167 0.665
Br2 0.833 0.666 0.665
Br3 0.334 0.167 0.665
Br4 0.666 0.833 0.335
Br5 0.167 0.334 0.335
Br6 0.167 0.833 0.335
Br7 0.500 0.000 0.000
Br8 0.000 0.500 0.000
Br9 0.500 0.500 0.000
# Formation energy from raw total energies: -1.23 eV per atom
# Calculated total energy: -3.3984 eV per atom

***

8.
# RbScCuBr6, optimized geometry, DFT PBE-GGA
data_RbScCuBr6
_chemical_formula_sum 'Rb1 Sc1 Cu1 Br6'
_space_group_name_H-M_alt 'P 1'
_space_group_IT_number 1
_cell_length_a 7.440
_cell_length_b 6.836
_cell_length_c 7.625
_cell_angle_alpha 87.18
_cell_angle_beta 83.33
_cell_angle_gamma 56.14
loop_
_space_group_symop_operation_xyz
'x,y,z'
loop_
_atom_site_label
_atom_site_fract_x
_atom_site_fract_y
_atom_site_fract_z
Rb1 0.041 0.935 0.002
Sc1 0.673 0.646 0.508
Cu1 0.310 0.336 0.480
Br1 0.994 0.370 0.273
Br2 0.373 0.037 0.704
Br3 0.639 0.400 0.755
Br4 0.985 0.652 0.658
Br5 0.389 0.617 0.334
Br6 0.596 0.007 0.285
# Formation energy from raw total energies: -1.23 eV per atom
# Calculated total energy: -3.6154 eV per atom

***

9.
# Rb2CuSeBr6, optimized geometry, DFT PBE-GGA
data_Rb2CuSeBr6
_chemical_formula_sum 'Rb2 Cu1 Se1 Br6'
_space_group_name_H-M_alt 'P 1'
_space_group_IT_number 1
_cell_length_a 7.559
_cell_length_b 7.559
_cell_length_c 7.718
_cell_angle_alpha 60.68
_cell_angle_beta 60.68
_cell_angle_gamma 90.00
loop_
_space_group_symop_operation_xyz
'x,y,z'
loop_
_atom_site_label
_atom_site_fract_x
_atom_site_fract_y
_atom_site_fract_z
Cu1 0.500 0.500 0.000
Se1 0.000 0.000 0.000
Br1 0.234 0.234 0.532
Br2 0.766 0.766 0.468
Br3 0.267 0.267 0.000
Br4 0.733 0.733 0.000
Br5 0.733 0.267 0.000
Br6 0.267 0.733 0.000
Rb1 0.750 0.250 0.500
Rb2 0.250 0.750 0.500
# Formation energy from raw total energies: -0.80 eV per atom
# Calculated total energy: -2.7548 eV per atom

***

10.
# RbCuSe2Br, optimized geometry, DFT PBE-GGA
data_RbCuSe2Br
_chemical_formula_sum 'Rb1 Cu1 Se2 Br1'
_space_group_name_H-M_alt 'P 1'
_space_group_IT_number 1
_cell_length_a 6.387
_cell_length_b 6.387
_cell_length_c 6.276
_cell_angle_alpha 90.00
_cell_angle_beta 90.00
_cell_angle_gamma 90.00
loop_
_space_group_symop_operation_xyz
'x,y,z'
loop_
_atom_site_label
_atom_site_fract_x
_atom_site_fract_y
_atom_site_fract_z
Cu1 0.500 0.500 0.500
Se1 0.000 0.500 0.000
Se2 0.500 0.000 0.000
Br1 0.000 0.000 0.500
Rb1 0.000 0.000 0.000
# Formation energy from raw total energies: 0.94 eV per atom
# Distance to the lowest polymorph of the same formula: 124.81 kJ/mol of atoms
# Calculated total energy: -1.8024 eV per atom

***

11.
# Rb2CuSeBr, optimized geometry, DFT PBE-GGA
data_Rb2CuSeBr
_chemical_formula_sum 'Rb2 Cu1 Se1 Br1'
_space_group_name_H-M_alt 'P 1'
_space_group_IT_number 1
_cell_length_a 6.658
_cell_length_b 6.658
_cell_length_c 4.468
_cell_angle_alpha 90.00
_cell_angle_beta 90.00
_cell_angle_gamma 90.00
loop_
_space_group_symop_operation_xyz
'x,y,z'
loop_
_atom_site_label
_atom_site_fract_x
_atom_site_fract_y
_atom_site_fract_z
Cu1 0.000 0.000 0.500
Se1 0.000 0.000 0.000
Br1 0.500 0.500 0.500
Rb1 0.000 0.500 0.000
Rb2 0.500 0.000 0.000
# Formation energy from raw total energies: -0.94 eV per atom
# Calculated total energy: -3.1787 eV per atom

***

12.
# RbCuSe2Br, optimized geometry, DFT PBE-GGA
data_RbCuSe2Br
_chemical_formula_sum 'Rb1 Cu1 Se2 Br1'
_space_group_name_H-M_alt 'P 1'
_space_group_IT_number 1
_cell_length_a 4.751
_cell_length_b 4.751
_cell_length_c 6.467
_cell_angle_alpha 90.00
_cell_angle_beta 90.00
_cell_angle_gamma 90.00
loop_
_space_group_symop_operation_xyz
'x,y,z'
loop_
_atom_site_label
_atom_site_fract_x
_atom_site_fract_y
_atom_site_fract_z
Cu1 0.000 0.000 0.000
Se1 0.000 0.500 0.000
Se2 0.500 0.000 0.000
Br1 0.000 0.000 0.500
Rb1 0.500 0.500 0.500
# Formation energy from raw total energies: -0.35 eV per atom
# Distance to the lowest polymorph of the same formula: 0.00 kJ/mol of atoms
# Calculated total energy: -3.0959 eV per atom

***

Repeat the fifth record exactly.
# RbCu2SbBr8, optimized geometry, DFT PBE-GGA
data_RbCu2SbBr8
_chemical_formula_sum 'Rb1 Cu2 Sb1 Br8'
_space_group_name_H-M_alt 'P 1'
_space_group_IT_number 1
_cell_length_a 7.072
_cell_length_b 7.175
_cell_length_c 9.763
_cell_angle_alpha 65.46
_cell_angle_beta 70.21
_cell_angle_gamma 68.98
loop_
_space_group_symop_operation_xyz
'x,y,z'
loop_
_atom_site_label
_atom_site_fract_x
_atom_site_fract_y
_atom_site_fract_z
Rb1 0.000 0.000 0.500
Cu1 0.434 0.469 0.704
Cu2 0.566 0.531 0.296
Sb1 0.000 0.000 0.000
Br1 0.171 0.699 0.248
Br2 0.733 0.755 0.054
Br3 0.719 0.222 0.192
Br4 0.829 0.301 0.752
Br5 0.267 0.245 0.946
Br6 0.281 0.778 0.808
Br7 0.546 0.732 0.461
Br8 0.454 0.268 0.539
# Formation energy from raw total energies: -0.59 eV per atom
# Calculated total energy: -2.8135 eV per atom